1.
## PrThTlCu (PBE)

Data for a geometry-optimized PrThTlCu structure.

a b c (Å): 5.3520 5.3520 5.3520
angles (deg): 60.00 60.00 60.00
Fractional positions:
Pr 0.0000 0.0000 0.0000
Th 0.5000 0.5000 0.5000
Tl 0.2500 0.2500 0.2500
Cu 0.7500 0.7500 0.7500

Results
Energy of formation ... -0.076 eV per atom
Magnetization ... 0.00 μB/f.u.
V ... 108.40 Å³/f.u.
Mass density ... 9.817 g cm⁻³


2.
## PrTiCu2 (PBE)

Data for a geometry-optimized PrTiCu2 structure.

a b c (Å): 3.2528 3.2528 7.0269
angles (deg): 90.00 90.00 90.00
Fractional positions:
Pr 0.0000 0.0000 0.0000
Ti 0.0000 0.0000 0.5000
Cu 0.5000 0.5000 0.3130
Cu 0.5000 0.5000 0.6870

Results
Energy of formation ... -0.025 eV per atom
Magnetization ... 0.66 μB/f.u.
V ... 74.35 Å³/f.u.
Mass density ... 7.055 g cm⁻³


3.
## PrTiCu4 (PBE)

Data for a geometry-optimized PrTiCu4 structure.

a b c (Å): 5.1605 5.1605 5.1605
angles (deg): 60.00 60.00 60.00
Fractional positions:
Pr 0.0000 0.0000 0.0000
Ti 0.7500 0.7500 0.7500
Cu 0.3769 0.3769 0.3769
Cu 0.3769 0.3769 0.8692
Cu 0.3769 0.8692 0.3769
Cu 0.8692 0.3769 0.3769

Results
Energy of formation ... 0.040 eV per atom
Magnetization ... 1.61 μB/f.u.
V ... 97.17 Å³/f.u.
Mass density ... 7.569 g cm⁻³


4.
## PrTlCu2 (PBE)

Data for a geometry-optimized PrTlCu2 structure.

a b c (Å): 4.8636 4.8636 4.8636
angles (deg): 60.00 60.00 60.00
Fractional positions:
Pr 0.0000 0.0000 0.0000
Tl 0.5000 0.5000 0.5000
Cu 0.2500 0.2500 0.2500
Cu 0.7500 0.7500 0.7500

Results
Energy of formation ... -0.148 eV per atom
Magnetization ... 0.00 μB/f.u.
V ... 81.35 Å³/f.u.
Mass density ... 9.642 g cm⁻³


5.
## Pr3TlCu8 (PBE)

Data for a geometry-optimized Pr3TlCu8 structure.

a b c (Å): 9.2687 9.2687 9.2687
angles (deg): 33.39 33.39 33.39
Fractional positions:
Pr 0.0000 0.0000 0.0000
Pr 0.1246 0.1246 0.1246
Pr 0.6184 0.6184 0.6184
Tl 0.4946 0.4946 0.4946
Cu 0.0570 0.0570 0.5668
Cu 0.0570 0.5668 0.0570
Cu 0.0602 0.5599 0.5599
Cu 0.3104 0.3104 0.3104
Cu 0.5599 0.0602 0.5599
Cu 0.5599 0.5599 0.0602
Cu 0.5668 0.0570 0.0570
Cu 0.8112 0.8112 0.8112

Results
Energy of formation ... -0.094 eV per atom
Magnetization ... 0.00 μB/f.u.
V ... 214.74 Å³/f.u.
Mass density ... 8.780 g cm⁻³


6.
## Pr5Tl2Cu2 (PBE)

Data for a geometry-optimized Pr5Tl2Cu2 structure.

a b c (Å): 9.3518 9.3518 7.3228
angles (deg): 90.00 90.00 55.81
Fractional positions:
Pr 0.0000 0.0000 0.0000
Pr 0.0587 0.6905 0.6547
Pr 0.1905 0.5587 0.1547
Pr 0.3095 0.9413 0.6547
Pr 0.4413 0.8095 0.1547
Pr 0.5000 0.5000 0.5000
Pr 0.5587 0.1905 0.8453
Pr 0.6905 0.0587 0.3453
Pr 0.8095 0.4413 0.8453
Pr 0.9413 0.3095 0.3453
Tl 0.2151 0.2151 0.0000
Tl 0.2849 0.2849 0.5000
Tl 0.7151 0.7151 0.5000
Tl 0.7849 0.7849 0.0000
Cu 0.1100 0.8900 0.3779
Cu 0.3900 0.6100 0.8779
Cu 0.6100 0.3900 0.1221
Cu 0.8900 0.1100 0.6221

Results
Energy of formation ... -0.173 eV per atom
Magnetization ... 0.00 μB/f.u.
V ... 264.89 Å³/f.u.
Mass density ... 7.776 g cm⁻³


7.
## Pr8Tl2Cu (PBE)

Data for a geometry-optimized Pr8Tl2Cu structure.

a b c (Å): 10.1544 10.1544 7.0039
angles (deg): 104.73 104.73 30.21
Fractional positions:
Pr 0.0131 0.0131 0.2789
Pr 0.2092 0.2092 0.8090
Pr 0.3498 0.3498 0.5145
Pr 0.4096 0.4096 0.0370
Pr 0.5904 0.5904 0.9630
Pr 0.6502 0.6502 0.4855
Pr 0.7908 0.7908 0.1910
Pr 0.9869 0.9869 0.7211
Tl 0.1807 0.1807 0.2487
Tl 0.8193 0.8193 0.7513
Cu 0.5000 0.5000 0.5000

Results
Energy of formation ... -0.142 eV per atom
Magnetization ... 0.00 μB/f.u.
V ... 350.61 Å³/f.u.
Mass density ... 7.576 g cm⁻³


8.
## Pr8TlCu2 (PBE)

Data for a geometry-optimized Pr8TlCu2 structure.

a b c (Å): 8.3489 8.3489 5.5976
angles (deg): 98.85 98.85 114.71
Fractional positions:
Pr 0.0758 0.3210 0.5779
Pr 0.2437 0.7563 0.0000
Pr 0.3210 0.0758 0.5779
Pr 0.3949 0.3949 0.1925
Pr 0.6051 0.6051 0.8075
Pr 0.6790 0.9242 0.4221
Pr 0.7563 0.2437 0.0000
Pr 0.9242 0.6790 0.4221
Tl 0.0000 0.0000 0.0000
Cu 0.3102 0.6898 0.5000
Cu 0.6898 0.3102 0.5000

Results
Energy of formation ... -0.039 eV per atom
Magnetization ... 0.00 μB/f.u.
V ... 339.75 Å³/f.u.
Mass density ... 7.130 g cm⁻³